Li3Zn3Rh after structural relaxation, computed with GGA-PBE.

a = 7.1464 Å, b = 7.1464 Å, c = 7.1464 Å
α = 53.00°, β = 53.00°, γ = 53.00°
With the nearest neighbours (Å) after each atom.
Positions (direct):
Li  0.0560  0.5814  0.2237  3 Zn 2.47-2.66, 2 Li 2.72
Li  0.2237  0.0560  0.5814  3 Zn 2.47-2.66, 2 Li 2.72
Li  0.4186  0.7763  0.9440  3 Zn 2.47-2.66, 2 Li 2.72
Li  0.5814  0.2237  0.0560  3 Zn 2.47-2.66, 2 Li 2.72
Li  0.7763  0.9440  0.4186  3 Zn 2.47-2.66, 2 Li 2.72
Li  0.9440  0.4186  0.7763  3 Zn 2.47-2.66, 2 Li 2.72
Zn  0.2034  0.6979  0.4324  3 Li 2.47-2.66, 2 Rh 2.58-2.73, 4 Zn 2.58-2.73
Zn  0.3021  0.5676  0.7966  3 Li 2.47-2.66, 2 Rh 2.58-2.73, 4 Zn 2.58-2.73
Zn  0.4324  0.2034  0.6979  3 Li 2.47-2.66, 2 Rh 2.58-2.73, 4 Zn 2.58-2.73
Zn  0.5676  0.7966  0.3021  3 Li 2.47-2.66, 2 Rh 2.58-2.73, 4 Zn 2.58-2.73
Zn  0.6979  0.4324  0.2034  3 Li 2.47-2.66, 2 Rh 2.58-2.73, 4 Zn 2.58-2.73
Zn  0.7966  0.3021  0.5676  3 Li 2.47-2.66, 2 Rh 2.58-2.73, 4 Zn 2.58-2.73
Rh  0.1626  0.1626  0.1626  6 Zn 2.58-2.73, 3 Li 2.86
Rh  0.8374  0.8374  0.8374  6 Zn 2.58-2.73, 3 Li 2.86

The value obtained for the polymorph energy (0 for the lowest one) is 0.129 eV per atom. The value obtained for the energy of formation from the pure elements is -0.1255 eV per atom.

=====

LiZn2Rh2 after structural relaxation, computed with GGA-PBE.

a = 6.4917 Å, b = 6.4917 Å, c = 6.4917 Å
α = 146.51°, β = 146.51°, γ = 48.10°
With the nearest neighbours (Å) after each atom.
Positions (direct):
Li  0.0000  0.0000  0.0000  8 Zn 2.91
Zn  0.3984  0.3984  0.0000  1 Zn 2.41, 4 Rh 2.57
Zn  0.6016  0.6016  0.0000  1 Zn 2.41, 4 Rh 2.57
Rh  0.2500  0.7500  0.5000  4 Zn 2.57, 4 Rh 2.65
Rh  0.7500  0.2500  0.5000  4 Zn 2.57, 4 Rh 2.65

The value obtained for the polymorph energy (0 for the lowest one) is 0.332 eV per atom. The value obtained for the energy of formation from the pure elements is -0.0158 eV per atom.

=====

Li12Zn6Rh after structural relaxation, computed with GGA-PBE.

a = 6.7885 Å, b = 6.7885 Å, c = 6.7885 Å
α = 88.92°, β = 88.92°, γ = 88.92°
With the nearest neighbours (Å) after each atom.
Positions (direct):
Li  0.0249  0.3071  0.9302  4 Zn 2.75-2.90, 5 Li 2.80-3.00
Li  0.0698  0.9751  0.6929  4 Zn 2.75-2.90, 5 Li 2.80-3.00
Li  0.1293  0.3520  0.4646  5 Li 2.69-3.00, 1 Rh 2.74, 5 Zn 2.79-2.95
Li  0.3071  0.9302  0.0249  4 Zn 2.75-2.90, 5 Li 2.80-3.00
Li  0.3520  0.4646  0.1293  5 Li 2.69-3.00, 1 Rh 2.74, 5 Zn 2.79-2.95
Li  0.4646  0.1293  0.3520  5 Li 2.69-3.00, 1 Rh 2.74, 5 Zn 2.79-2.95
Li  0.5354  0.8707  0.6480  5 Li 2.69-3.00, 1 Rh 2.74, 5 Zn 2.79-2.95
Li  0.6480  0.5354  0.8707  5 Li 2.69-3.00, 1 Rh 2.74, 5 Zn 2.79-2.95
Li  0.6929  0.0698  0.9751  4 Zn 2.75-2.90, 5 Li 2.80-3.00
Li  0.8707  0.6480  0.5354  5 Li 2.69-3.00, 1 Rh 2.74, 5 Zn 2.79-2.95
Li  0.9302  0.0249  0.3071  4 Zn 2.75-2.90, 5 Li 2.80-3.00
Li  0.9751  0.6929  0.0698  4 Zn 2.75-2.90, 5 Li 2.80-3.00
Zn  0.2378  0.6089  0.7598  1 Rh 2.59, 2 Zn 2.69, 6 Li 2.75-2.80
Zn  0.2402  0.7622  0.3911  1 Rh 2.59, 2 Zn 2.69, 6 Li 2.75-2.80
Zn  0.3911  0.2402  0.7622  1 Rh 2.59, 2 Zn 2.69, 6 Li 2.75-2.80
Zn  0.6089  0.7598  0.2378  1 Rh 2.59, 2 Zn 2.69, 6 Li 2.75-2.80
Zn  0.7598  0.2378  0.6089  1 Rh 2.59, 2 Zn 2.69, 6 Li 2.75-2.80
Zn  0.7622  0.3911  0.2402  1 Rh 2.59, 2 Zn 2.69, 6 Li 2.75-2.80
Rh  0.5000  0.5000  0.5000  6 Zn 2.59, 6 Li 2.74

The value obtained for the energy of formation from the pure elements is -0.1624 eV per atom.

=====

Li2ZnRh after structural relaxation, computed with GGA-PBE.

a = 2.6377 Å, b = 2.6377 Å, c = 8.9050 Å
α = 90.00°, β = 90.00°, γ = 112.98°
With the nearest neighbours (Å) after each atom.
Positions (direct):
Li  0.0000  0.0000  0.2330  2 Rh 2.54, 4 Li 2.64, 2 Zn 2.79
Li  0.0000  0.0000  0.7670  2 Rh 2.54, 4 Li 2.64, 2 Zn 2.79
Zn  0.5000  0.5000  0.5000  6 Zn 2.64-2.91, 4 Li 2.79
Rh  0.5000  0.5000  0.0000  4 Li 2.54, 4 Rh 2.64

The value obtained for the energy of formation from the pure elements is -0.1335 eV per atom.

=====

Li5Zn4Rh after structural relaxation, computed with GGA-PBE.

a = 6.4968 Å, b = 6.4968 Å, c = 6.4968 Å
α = 97.20°, β = 97.20°, γ = 138.53°
With the nearest neighbours (Å) after each atom.
Positions (direct):
Li  0.0000  0.0000  0.0000  2 Rh 2.29-2.31
Li  0.2368  0.5342  0.2975  4 Zn 2.67-2.86, 1 Li 2.78, 1 Rh 2.82
Li  0.2368  0.9393  0.7025  4 Zn 2.67-2.86, 1 Li 2.78, 1 Rh 2.82
Li  0.5342  0.2368  0.2975  4 Zn 2.67-2.86, 1 Li 2.78, 1 Rh 2.82
Li  0.9393  0.2368  0.7025  4 Zn 2.67-2.86, 1 Li 2.78, 1 Rh 2.82
Zn  0.5147  0.5147  0.6193  1 Rh 2.50, 3 Li 2.67-2.68, 2 Zn 2.72
Zn  0.5147  0.8954  0.0000  1 Rh 2.50, 3 Li 2.67-2.68, 2 Zn 2.72
Zn  0.8954  0.5147  0.0000  1 Rh 2.50, 3 Li 2.67-2.68, 2 Zn 2.72
Zn  0.8954  0.8954  0.3807  1 Rh 2.50, 3 Li 2.67-2.68, 2 Zn 2.72
Rh  0.4980  0.4980  0.0000  2 Li 2.29-2.31, 4 Zn 2.50

The value obtained for the energy of formation from the pure elements is -0.1028 eV per atom.

=====

Li2ZnRh3 after structural relaxation, computed with GGA-PBE.

a = 8.9595 Å, b = 8.5541 Å, c = 4.6105 Å
α = 79.66°, β = 69.93°, γ = 30.41°
With the nearest neighbours (Å) after each atom.
Positions (direct):
Li  0.0437  0.0437  0.7063  7 Rh 2.66-2.73, 3 Zn 2.66-2.74, 2 Li 2.71
Li  0.2937  0.2937  0.9563  7 Rh 2.66-2.73, 3 Zn 2.66-2.74, 2 Li 2.71
Li  0.7063  0.7063  0.0437  7 Rh 2.66-2.73, 3 Zn 2.66-2.74, 2 Li 2.71
Li  0.9563  0.9563  0.2937  7 Rh 2.66-2.73, 3 Zn 2.66-2.74, 2 Li 2.71
Zn  0.1250  0.1250  0.1250  6 Li 2.66-2.74, 6 Rh 2.66-2.70
Zn  0.8750  0.8750  0.8750  6 Li 2.66-2.74, 6 Rh 2.66-2.70
Rh  0.2118  0.2118  0.5382  5 Rh 2.62-2.70, 5 Li 2.66-2.73, 2 Zn 2.70
Rh  0.3750  0.3750  0.3750  6 Rh 2.65-2.70, 4 Li 2.66, 2 Zn 2.66
Rh  0.4618  0.4618  0.7882  5 Rh 2.62-2.70, 5 Li 2.66-2.73, 2 Zn 2.70
Rh  0.5382  0.5382  0.2118  5 Rh 2.62-2.70, 5 Li 2.66-2.73, 2 Zn 2.70
Rh  0.6250  0.6250  0.6250  6 Rh 2.65-2.70, 4 Li 2.66, 2 Zn 2.66
Rh  0.7882  0.7882  0.4618  5 Rh 2.62-2.70, 5 Li 2.66-2.73, 2 Zn 2.70

The value obtained for the energy of formation from the pure elements is -0.2108 eV per atom.

=====

Li12Zn2Rh after structural relaxation, computed with GGA-PBE.

a = 2.7050 Å, b = 4.8429 Å, c = 18.7746 Å
α = 90.00°, β = 90.00°, γ = 90.00°
With the nearest neighbours (Å) after each atom.
Positions (direct):
Li  0.0000  0.0000  0.0647  3 Li 2.43-2.71, 2 Rh 2.71
Li  0.0000  0.0000  0.9353  3 Li 2.43-2.71, 2 Rh 2.71
Li  0.0000  0.2414  0.5000  2 Li 2.34-2.50
Li  0.0000  0.7586  0.5000  2 Li 2.34-2.50
Li  0.5000  0.0000  0.2126  3 Li 2.55-2.71
Li  0.5000  0.0000  0.3482  5 Li 2.50-2.71
Li  0.5000  0.0000  0.6518  5 Li 2.50-2.71
Li  0.5000  0.0000  0.7874  3 Li 2.55-2.71
Li  0.5000  0.5000  0.1216  2 Rh 2.65, 8 Li 2.71-2.97, 2 Zn 2.88
Li  0.5000  0.5000  0.3808  4 Li 2.50-2.71, 2 Zn 2.69
Li  0.5000  0.5000  0.6192  4 Li 2.50-2.71, 2 Zn 2.69
Li  0.5000  0.5000  0.8784  2 Rh 2.65, 8 Li 2.71-2.97, 2 Zn 2.88
Zn  0.0000  0.5000  0.2571  8 Li 2.69-2.90, 2 Zn 2.71
Zn  0.0000  0.5000  0.7429  8 Li 2.69-2.90, 2 Zn 2.71
Rh  0.0000  0.5000  0.0000  8 Li 2.65-2.71, 2 Rh 2.71

The value obtained for the energy of formation from the pure elements is -0.0171 eV per atom.

=====

Li3Zn2Rh after structural relaxation, computed with GGA-PBE.

a = 8.5680 Å, b = 7.8604 Å, c = 4.9794 Å
α = 80.31°, β = 64.73°, γ = 34.95°
With the nearest neighbours (Å) after each atom.
Positions (direct):
Li  0.1537  0.6738  0.3262  4 Li 2.38-2.57, 1 Rh 2.50
Li  0.1682  0.1682  0.8318  2 Li 2.38, 3 Rh 2.50-2.57
Li  0.3262  0.8463  0.1537  4 Li 2.38-2.57, 1 Rh 2.50
Li  0.6738  0.1537  0.8463  4 Li 2.38-2.57, 1 Rh 2.50
Li  0.8318  0.8318  0.1682  2 Li 2.38, 3 Rh 2.50-2.57
Li  0.8463  0.3262  0.6738  4 Li 2.38-2.57, 1 Rh 2.50
Zn  0.2500  0.2500  0.2500  2 Zn 2.57, 8 Li 2.75-2.77, 4 Rh 2.80
Zn  0.2592  0.7408  0.7408  2 Zn 2.47-2.66, 2 Rh 2.73, 4 Li 2.76
Zn  0.7408  0.2592  0.2592  2 Zn 2.47-2.66, 2 Rh 2.73, 4 Li 2.76
Zn  0.7500  0.7500  0.7500  2 Zn 2.57, 8 Li 2.75-2.77, 4 Rh 2.80
Rh  0.3363  0.3363  0.6637  5 Li 2.50-2.57, 2 Zn 2.73
Rh  0.6637  0.6637  0.3363  5 Li 2.50-2.57, 2 Zn 2.73

The value obtained for the polymorph energy (0 for the lowest one) is 0.025 eV per atom. The value obtained for the energy of formation from the pure elements is -0.2341 eV per atom.

=====

Question: What is the formula in the seventh record?
Answer: Li12Zn2Rh

=====

Question: Look up the energy of formation from the pure elements of the second one.
Answer: -0.0158 eV per atom

=====

Question: The lowest energy of formation from the pure elements belongs to which entry?
Answer: Li3Zn2Rh